# Dy8Ho3Th

A relaxed Dy8Ho3Th crystal (GGA-PBE, Alexandria).

Computed properties:
Energy of formation from the pure elements (eV per atom): 0.7640
Crystal system: tetragonal

Cell: 7.6702 7.6702 9.4172 Å, 114.03 114.03 90.00°
Positions (direct):
Dy 0.8751 0.3744 0.2495
Dy 0.3744 0.3744 0.2495
Dy 0.1249 0.1249 0.7505
Dy 0.6256 0.1249 0.7505
Dy 0.3744 0.8751 0.2495
Dy 0.8751 0.8751 0.2495
Dy 0.6256 0.6256 0.7505
Dy 0.1249 0.6256 0.7505
Ho 0.2500 0.7500 0.5000
Ho 0.5000 0.5000 0.0000
Ho 0.7500 0.2500 0.5000
Th 0.0000 0.0000 0.0000


# Dy12Ho5Th2

A relaxed Dy12Ho5Th2 crystal (GGA-PBE, Alexandria).

Computed properties:
Energy of formation from the pure elements (eV per atom): 0.0792
ΔE to the lowest computed polymorph (meV/atom): 0.0
Crystal system: triclinic

Cell: 6.2615 9.1257 13.6961 Å, 128.68 94.24 91.68°
Positions (direct):
Dy 0.9856 0.1114 0.2743
Dy 0.0823 0.7812 0.9452
Dy 0.5916 0.7329 0.0557
Dy 0.1759 0.5528 0.3509
Dy 0.6411 0.6188 0.2556
Dy 0.5086 0.9352 0.6125
Dy 0.4914 0.0648 0.3875
Dy 0.8241 0.4472 0.6491
Dy 0.3589 0.3812 0.7444
Dy 0.9177 0.2188 0.0548
Dy 0.4084 0.2671 0.9443
Dy 0.0144 0.8886 0.7257
Ho 0.2868 0.4986 0.5603
Ho 0.1209 0.6657 0.1555
Ho 0.0000 0.0000 0.5000
Ho 0.8791 0.3343 0.8445
Ho 0.7132 0.5014 0.4397
Th 0.5528 0.8317 0.8451
Th 0.4472 0.1683 0.1549


# Dy8Ho2Th

A relaxed Dy8Ho2Th crystal (GGA-PBE, Alexandria).

Computed properties:
Energy of formation from the pure elements (eV per atom): 0.0272
ΔE to the lowest computed polymorph (meV/atom): 0.0
Crystal system: monoclinic

Cell: 5.0121 7.9265 9.3791 Å, 104.67 105.50 90.00°
Positions (direct):
Dy 0.4093 0.5469 0.8186
Dy 0.6805 0.9083 0.3610
Dy 0.8645 0.8193 0.7290
Dy 0.9549 0.2680 0.9098
Dy 0.1355 0.1807 0.2710
Dy 0.3195 0.0917 0.6390
Dy 0.5907 0.4531 0.1814
Dy 0.0451 0.7320 0.0902
Ho 0.7718 0.3640 0.5436
Ho 0.2282 0.6360 0.4564
Th 0.5000 0.0000 0.0000


# DyHo4Th2

A relaxed DyHo4Th2 crystal (GGA-PBE, Alexandria).

Computed properties:
Energy of formation from the pure elements (eV per atom): 0.1154
ΔE to the lowest computed polymorph (meV/atom): 0.0
Crystal system: triclinic

Cell: 3.4680 8.4757 8.9169 Å, 120.09 81.93 98.45°
Positions (direct):
Ho 0.3603 0.7254 0.5779
Ho 0.9547 0.1646 0.7167
Ho 0.6397 0.2746 0.4221
Ho 0.0453 0.8354 0.2833
Th 0.4119 0.4141 0.1329
Th 0.5881 0.5859 0.8671
Dy 0.0000 0.0000 0.0000


# Dy5Ho2Th4

A relaxed Dy5Ho2Th4 crystal (GGA-PBE, Alexandria).

Computed properties:
Energy of formation from the pure elements (eV per atom): 0.2862
ΔE to the lowest computed polymorph (meV/atom): 105.3
Crystal system: orthorhombic

Cell: 3.4921 9.3220 12.5197 Å, 111.86 98.02 90.00°
Positions (direct):
Dy 0.8495 0.0552 0.6990
Dy 0.8495 0.6437 0.6990
Dy 0.1505 0.3563 0.3010
Dy 0.1505 0.9448 0.3010
Dy 0.5000 0.0000 0.0000
Ho 0.2704 0.2704 0.5409
Ho 0.7296 0.7296 0.4591
Th 0.0000 0.2962 0.0000
Th 0.5931 0.5931 0.1861
Th 0.0000 0.7038 0.0000
Th 0.4069 0.4069 0.8139


# Dy4Ho7Th

A relaxed Dy4Ho7Th crystal (GGA-PBE, Alexandria).

Computed properties:
Energy of formation from the pure elements (eV per atom): 0.3129
ΔE to the lowest computed polymorph (meV/atom): 293.3
Crystal system: monoclinic

Cell: 5.8893 11.4575 6.7066 Å, 83.59 63.96 75.11°
Positions (direct):
Dy 0.6367 0.2244 0.5022
Dy 0.3633 0.7756 0.4978
Dy 0.7538 0.6809 0.8116
Dy 0.2462 0.3191 0.1884
Ho 0.7861 0.9230 0.5049
Ho 0.2139 0.0770 0.4951
Ho 0.0601 0.6764 0.2034
Ho 0.9399 0.3236 0.7966
Ho 0.3668 0.5010 0.7655
Ho 0.5000 0.0000 0.0000
Ho 0.6332 0.4990 0.2345
Th 0.0000 0.0000 0.0000


# Dy8HoTh6

A relaxed Dy8HoTh6 crystal (GGA-PBE, Alexandria).

Computed properties:
Energy of formation from the pure elements (eV per atom): 0.1545
Crystal system: trigonal

Cell: 8.7375 8.7375 8.7375 Å, 60.86 60.86 60.86°
Positions (direct):
Dy 0.1206 0.6762 0.8026
Dy 0.1974 0.8794 0.3238
Dy 0.3238 0.1974 0.8794
Dy 0.5803 0.5803 0.5803
Dy 0.4197 0.4197 0.4197
Dy 0.6762 0.8026 0.1206
Dy 0.8026 0.1206 0.6762
Dy 0.8794 0.3238 0.1974
Ho 0.0000 0.0000 0.0000
Th 0.9260 0.4652 0.7364
Th 0.2636 0.0740 0.5347
Th 0.5347 0.2636 0.0740
Th 0.4652 0.7364 0.9260
Th 0.7364 0.9260 0.4652
Th 0.0740 0.5347 0.2636


# Dy2Ho3Th6

A relaxed Dy2Ho3Th6 crystal (GGA-PBE, Alexandria).

Computed properties:
Energy of formation from the pure elements (eV per atom): 0.0316
Crystal system: trigonal

Cell: 3.5683 3.5683 31.7024 Å, 86.77 86.77 60.00°
Positions (direct):
Dy 0.5459 0.5459 0.3622
Dy 0.4541 0.4541 0.6378
Ho 0.0000 0.0000 0.0000
Ho 0.7270 0.7270 0.8191
Ho 0.2730 0.2730 0.1809
Th 0.9094 0.9094 0.2717
Th 0.0906 0.0906 0.7283
Th 0.8184 0.8184 0.5448
Th 0.1816 0.1816 0.4552
Th 0.6365 0.6365 0.0906
Th 0.3635 0.3635 0.9094


# Dy16Ho7Th6

A relaxed Dy16Ho7Th6 crystal (GGA-PBE, Alexandria).

Computed properties:
Energy of formation from the pure elements (eV per atom): 0.3081
Crystal system: cubic

Cell: 11.0323 11.0323 11.0323 Å, 60.00 60.00 60.00°
Positions (direct):
Dy 0.8804 0.8804 0.3587
Dy 0.8804 0.8804 0.8804
Dy 0.8804 0.3587 0.8804
Dy 0.3587 0.8804 0.8804
Dy 0.1196 0.1196 0.1196
Dy 0.1196 0.1196 0.6413
Dy 0.1196 0.6413 0.1196
Dy 0.6413 0.1196 0.1196
Dy 0.6583 0.6583 0.0250
Dy 0.6583 0.6583 0.6583
Dy 0.6583 0.0250 0.6583
Dy 0.0250 0.6583 0.6583
Dy 0.3417 0.3417 0.3417
Dy 0.3417 0.3417 0.9750
Dy 0.3417 0.9750 0.3417
Dy 0.9750 0.3417 0.3417
Ho 0.0000 0.0000 0.0000
Ho 0.5000 0.0000 0.5000
Ho 0.0000 0.5000 0.0000
Ho 0.0000 0.5000 0.5000
Ho 0.5000 0.0000 0.0000
Ho 0.0000 0.0000 0.5000
Ho 0.5000 0.5000 0.0000
Th 0.3302 0.6698 0.3302
Th 0.6698 0.3302 0.6698
Th 0.6698 0.3302 0.3302
Th 0.3302 0.6698 0.6698
Th 0.6698 0.6698 0.3302
Th 0.3302 0.3302 0.6698


# Dy3Ho6Th

A relaxed Dy3Ho6Th crystal (GGA-PBE, Alexandria).

Computed properties:
Energy of formation from the pure elements (eV per atom): 0.0755
ΔE to the lowest computed polymorph (meV/atom): 0.0
Crystal system: monoclinic

Cell: 3.5027 12.9318 14.1898 Å, 100.46 90.00 90.00°
Positions (direct):
Dy 0.7500 0.4223 0.9032
Dy 0.2500 0.5777 0.0968
Dy 0.7500 0.6256 0.5021
Dy 0.2500 0.3744 0.4979
Dy 0.7500 0.0759 0.0998
Dy 0.2500 0.9241 0.9002
Ho 0.7500 0.5008 0.6906
Ho 0.2500 0.4992 0.3094
Ho 0.7500 0.8089 0.0781
Ho 0.2500 0.1911 0.9219
Ho 0.7500 0.3456 0.1202
Ho 0.2500 0.6544 0.8798
Ho 0.7500 0.7282 0.3002
Ho 0.2500 0.2718 0.6998
Ho 0.7500 0.1216 0.4851
Ho 0.2500 0.8784 0.5149
Ho 0.7500 0.7781 0.7141
Ho 0.2500 0.2219 0.2859
Th 0.7500 0.0396 0.7230
Th 0.2500 0.9604 0.2770


# DyHo3Th5

A relaxed DyHo3Th5 crystal (GGA-PBE, Alexandria).

Computed properties:
Energy of formation from the pure elements (eV per atom): 0.4500
Crystal system: tetragonal

Cell: 9.1828 9.1828 9.6241 Å, 118.49 118.49 90.00°
Positions (direct):
Dy 0.7500 0.2500 0.5000
Dy 0.2500 0.7500 0.5000
Ho 0.6043 0.1043 0.0000
Ho 0.3957 0.8957 0.0000
Ho 0.8957 0.6043 0.0000
Ho 0.1043 0.3957 0.0000
Ho 0.2500 0.2500 0.5000
Ho 0.7500 0.7500 0.5000
Th 0.0809 0.5809 0.7467
Th 0.6658 0.1658 0.7467
Th 0.1658 0.0809 0.7467
Th 0.5809 0.6658 0.7467
Th 0.9191 0.4191 0.2533
Th 0.3342 0.8342 0.2533
Th 0.8342 0.9191 0.2533
Th 0.4191 0.3342 0.2533
Th 0.5000 0.5000 0.0000
Th 0.0000 0.0000 0.0000


# Dy10HoTh4

A relaxed Dy10HoTh4 crystal (GGA-PBE, Alexandria).

Computed properties:
Energy of formation from the pure elements (eV per atom): 0.3960
Crystal system: tetragonal

Cell: 10.6997 8.6923 8.6923 Å, 67.74 52.01 52.01°
Positions (direct):
Dy 0.2500 0.5000 0.5000
Dy 0.5438 0.3275 0.9027
Dy 0.1288 0.0973 0.3275
Dy 0.5536 0.9027 0.6725
Dy 0.7739 0.6725 0.0973
Dy 0.4562 0.6725 0.0973
Dy 0.7500 0.5000 0.5000
Dy 0.2261 0.3275 0.9027
Dy 0.4464 0.0973 0.3275
Dy 0.8712 0.9027 0.6725
Ho 0.0000 0.0000 0.0000
Th 0.3383 0.7266 0.5969
Th 0.9351 0.4031 0.7266
Th 0.0649 0.5969 0.2734
Th 0.6617 0.2734 0.4031


no.,calculated total energy (eV per formula unit),Fermi-level density of states (states/eV/atom)
1,-48.80,1.29
2,-91.45,1.56
3,-53.09,1.46
4,-36.95,1.68
5,-58.70,1.44
6,-54.12,1.55
7,-83.60,1.80
8,-67.11,1.51
9,-141.26,1.82
10,-47.94,1.40
11,-51.38,1.78
12,-74.34,1.61